No. 1
# ErGa6Rh4

A relaxed ErGa6Rh4 crystal (GGA-PBE, the Alexandria database).

Cell: 6.555 6.555 6.555 Å, 89.56 120.26 120.26°
Fractional positions:
Ga  0.500  0.500  0.000
Rh  0.370  0.762  0.762
Ga  0.000  0.875  0.530
Er  0.000  0.000  0.000
Ga  0.345  0.470  0.470
Rh  0.000  0.607  0.238
Rh  0.000  0.238  0.607
Rh  0.630  0.393  0.393
Ga  0.000  0.530  0.875
Ga  0.655  0.125  0.125
Ga  0.500  0.000  0.500

Its density of states at the Fermi level is 0.539 states/eV per atom. The total DFT energy (no corrections) is -5.3419 eV per atom. As for the energy of formation from the pure elements: -0.603 eV/atom. Its space group is I-42m, No. 121.

=====

No. 2
# Er3Ga12Rh

A relaxed Er3Ga12Rh crystal (GGA-PBE, the Alexandria database).

Cell: 4.298 4.296 15.862 Å, 90.00 90.00 90.00°
Fractional positions:
Ga  0.500  0.500  0.764
Er  0.000  0.000  0.500
Ga  0.000  0.500  0.368
Ga  0.000  0.500  0.632
Ga  0.500  0.500  0.236
Ga  0.500  0.000  0.103
Ga  0.500  0.000  0.632
Ga  0.500  0.500  0.000
Ga  0.000  0.500  0.897
Rh  0.000  0.000  0.000
Ga  0.000  0.500  0.103
Ga  0.500  0.000  0.897
Er  0.000  0.000  0.766
Er  0.000  0.000  0.234
Ga  0.500  0.500  0.500
Ga  0.500  0.000  0.368

Its density of states at the Fermi level is 0.329 states/eV per atom. The total DFT energy (no corrections) is -4.0337 eV per atom. As for the energy of formation from the pure elements: -0.449 eV/atom. Its space group is P4/mmm, No. 123.

=====

No. 3
# ErGa4Rh

A relaxed ErGa4Rh crystal (GGA-PBE, the Alexandria database).

Cell: 6.001 6.001 8.153 Å, 68.42 68.42 90.05°
Fractional positions:
Er  0.500  0.500  0.000
Er  0.000  0.000  0.000
Ga  0.100  0.600  0.297
Ga  0.602  0.102  0.297
Rh  0.750  0.750  0.500
Ga  0.399  0.398  0.703
Ga  0.398  0.898  0.703
Rh  0.250  0.250  0.500
Ga  0.898  0.899  0.703
Ga  0.102  0.101  0.297
Ga  0.900  0.400  0.703
Ga  0.601  0.602  0.297

Its density of states at the Fermi level is 0.615 states/eV per atom. The total DFT energy (no corrections) is -4.4121 eV per atom. As for the energy of formation from the pure elements: -0.408 eV/atom. Its space group is Fmmm, No. 69.

=====

No. 4
# Er6GaRh2

A relaxed Er6GaRh2 crystal (GGA-PBE, the Alexandria database).

Cell: 8.327 8.327 8.327 Å, 104.69 111.07 112.76°
Fractional positions:
Er  0.896  0.717  0.179
Er  0.104  0.283  0.821
Er  0.305  0.974  0.669
Er  0.695  0.026  0.331
Er  0.196  0.240  0.435
Er  0.462  0.283  0.179
Er  0.305  0.636  0.331
Er  0.196  0.760  0.956
Er  0.695  0.364  0.669
Rh  0.332  0.000  0.332
Er  0.804  0.240  0.044
Er  0.804  0.760  0.565
Rh  0.668  0.000  0.668
Er  0.538  0.717  0.821
Rh  0.500  0.634  0.134
Ga  0.000  0.000  0.000
Ga  0.000  0.500  0.500
Rh  0.500  0.366  0.866

Its density of states at the Fermi level is 0.771 states/eV per atom. The total DFT energy (no corrections) is -5.6294 eV per atom. As for the energy of formation from the pure elements: -0.617 eV/atom. Its space group is Immm, No. 71.